No. 1
# TeAsW2 (PBE, relaxed)
data_TeAsW2
_chemical_formula_sum 'Te2 As2 W4'
_cell_length_a 8.230
_cell_length_b 3.244
_cell_length_c 5.778
_cell_angle_alpha 90.00
_cell_angle_beta 103.46
_cell_angle_gamma 90.00
_space_group_name_H-M_alt 'C 1 2/m 1'
_space_group_IT_number 12
_space_group_name_Hall '-C 2y'
loop_
_atom_site_label
_atom_site_fract_x
_atom_site_fract_y
_atom_site_fract_z
Te1 0.000 0.000 0.000
As1 0.000 0.500 0.500
W1 0.245 0.000 0.689
# Energy: -62.91 eV/cell
# Offset from the most stable computed form: 377 meV per atom
# DOS(E_F): 6.0 states/eV/cell
# Energy relative to the elements, uncorrected: 561 meV per atom
# Crystal system: monoclinic

No. 2
# Li3Ac2Ag6 (PBE, relaxed)
data_Li3Ac2Ag6
_chemical_formula_sum 'Li6 Ac4 Ag12'
_cell_length_a 9.100
_cell_length_b 13.378
_cell_length_c 4.218
_cell_angle_alpha 90.00
_cell_angle_beta 90.00
_cell_angle_gamma 90.00
_space_group_name_H-M_alt 'C m m m'
_space_group_IT_number 65
_space_group_name_Hall '-C 2 2'
loop_
_atom_site_label
_atom_site_fract_x
_atom_site_fract_y
_atom_site_fract_z
Li1 0.000 0.000 0.000
Li2 0.175 0.000 0.500
Ac1 0.000 0.321 0.500
Ag1 0.148 0.500 0.000
Ag2 0.163 0.163 0.000
# Energy: -66.04 eV/cell
# DOS(E_F): 11.8 states/eV/cell
# ΔE_f: -2.0 eV per formula unit
# Crystal system: orthorhombic